Material: GdSc2Ge
Method: DFT, PBE-GGA
State: relaxed

Output
* magnetization: 23.1 μB/cell
* relative energy among the computed polymorphs: 165 meV/atom

abc: 3.4305 3.4305 29.0582
angles: 90.00 90.00 120.00
Space group R-3m (No. 166, hexagonal axes)
Asymmetric unit:
Gd1 0.0000 0.0000 0.0000
Sc1 0.0000 0.0000 0.2343
Ge1 0.0000 0.0000 0.5000


Material: GdSc2Ge
Method: DFT, PBE-GGA
State: relaxed

Output
* magnetization: 7.6 μB/cell
* relative energy among the computed polymorphs: 0 meV/atom

abc: 4.487 4.487 4.450
angles: 90.00 90.00 90.00
Space group P4/mmm (No. 123)
Asymmetric unit:
Gd1 0.000 0.000 0.000
Sc1 0.000 0.500 0.500
Ge1 0.500 0.500 0.000


Material: GdScZnGe
Method: DFT, PBE-GGA
State: relaxed

Output
* magnetization: 28.6 μB/cell
* DFT total energy: -7.10 eV per atom

abc: 6.931 6.931 6.931
angles: 90.00 90.00 90.00
Space group F-43m (No. 216)
Asymmetric unit:
Gd1 0.000 0.000 0.000
Sc1 0.000 0.000 0.500
Zn1 0.250 0.250 0.750
Ge1 0.250 0.250 0.250


Material: GdGeSe2
Method: DFT, PBE-GGA
State: relaxed

Output
* energy relative to the elements, uncorrected: -0.92 eV per atom
* magnetization: 20.9 μB/cell

abc: 4.2492 4.2492 19.2729
angles: 90.00 90.00 120.00
Space group R-3m (No. 166, hexagonal axes)
Asymmetric unit:
Gd1 0.0000 0.0000 0.0000
Ge1 0.0000 0.0000 0.5000
Se1 0.0000 0.0000 0.2468


Material: Gd2GeSe
Method: DFT, PBE-GGA
State: relaxed

Output
* energy relative to the elements, uncorrected: -1.39 eV per atom
* magnetization: 41.9 μB/cell

abc: 4.1798 4.1798 20.6321
angles: 90.00 90.00 120.00
Space group R-3m (No. 166, hexagonal axes)
Asymmetric unit:
Gd1 0.0000 0.0000 0.2463
Ge1 0.0000 0.0000 0.5000
Se1 0.0000 0.0000 0.0000


Material: GdSiGe2
Method: DFT, PBE-GGA
State: relaxed

Output
* energy relative to the elements, uncorrected: -0.20 eV per atom
* magnetization: 20.9 μB/cell
* relative energy among the computed polymorphs: 139 meV/atom

abc: 4.4311 4.4311 14.6190
angles: 90.00 90.00 120.00
Space group R-3m (No. 166, hexagonal axes)
Asymmetric unit:
Gd1 0.0000 0.0000 0.0000
Si1 0.0000 0.0000 0.5000
Ge1 0.0000 0.0000 0.2150


Material: GdSiGe2
Method: DFT, PBE-GGA
State: relaxed

Output
* energy relative to the elements, uncorrected: -0.34 eV per atom
* magnetization: 6.8 μB/cell
* relative energy among the computed polymorphs: 0 meV/atom

abc: 4.254 4.254 4.330
angles: 90.00 90.00 90.00
Space group P4/mmm (No. 123)
Asymmetric unit:
Gd1 0.000 0.000 0.000
Si1 0.500 0.500 0.000
Ge1 0.000 0.500 0.500


Material: GdSi2Ge
Method: DFT, PBE-GGA
State: relaxed

Output
* energy relative to the elements, uncorrected: -0.27 eV per atom
* magnetization: 6.7 μB/cell

abc: 4.210 4.210 4.225
angles: 90.00 90.00 90.00
Space group P4/mmm (No. 123)
Asymmetric unit:
Gd1 0.000 0.000 0.000
Si1 0.000 0.500 0.500
Ge1 0.500 0.500 0.000


Material: SmGd2Ge
Method: DFT, PBE-GGA
State: relaxed

Output
* magnetization: 15.4 μB/cell
* relative energy among the computed polymorphs: 28 meV/atom

abc: 3.866 3.866 7.436
angles: 90.00 90.00 90.00
Space group P4/mmm (No. 123)
Asymmetric unit:
Sm1 0.000 0.000 0.000
Gd1 0.500 0.500 0.300
Ge1 0.000 0.000 0.500


Material: SmGdGe2
Method: DFT, PBE-GGA
State: relaxed

Output
* magnetization: 7.2 μB/cell
* relative energy among the computed polymorphs: 23 meV/atom

abc: 3.395 3.395 8.181
angles: 90.00 90.00 90.00
Space group P4/mmm (No. 123)
Asymmetric unit:
Sm1 0.000 0.000 0.000
Gd1 0.000 0.000 0.500
Ge1 0.500 0.500 0.252


Material: SmGdGe4
Method: DFT, PBE-GGA
State: relaxed

Output
* magnetization: 31.4 μB/cell
* DFT total energy: -6.58 eV per atom

abc: 8.023 8.023 8.023
angles: 90.00 90.00 90.00
Space group F-43m (No. 216)
Asymmetric unit:
Sm1 0.000 0.000 0.000
Gd1 0.250 0.250 0.750
Ge1 0.125 0.125 0.375


Material: SmGd2Ge
Method: DFT, PBE-GGA
State: relaxed

Output
* magnetization: 43.2 μB/cell
* relative energy among the computed polymorphs: 522 meV/atom

abc: 3.5194 3.5194 35.0012
angles: 90.00 90.00 120.00
Space group R-3m (No. 166, hexagonal axes)
Asymmetric unit:
Sm1 0.0000 0.0000 0.0000
Gd1 0.0000 0.0000 0.4167
Ge1 0.0000 0.0000 0.5000


Material: SmGdGe2
Method: DFT, PBE-GGA
State: relaxed

Output
* magnetization: 21.3 μB/cell
* relative energy among the computed polymorphs: 0 meV/atom

abc: 4.7117 4.7117 15.7912
angles: 90.00 90.00 120.00
Space group R-3m (No. 166, hexagonal axes)
Asymmetric unit:
Sm1 0.0000 0.0000 0.0000
Gd1 0.0000 0.0000 0.5000
Ge1 0.0000 0.0000 0.2475


Material: SmGd2Ge
Method: DFT, PBE-GGA
State: relaxed

Output
* magnetization: 14.9 μB/cell
* relative energy among the computed polymorphs: 0 meV/atom

abc: 4.719 4.719 4.742
angles: 90.00 90.00 90.00
Space group P4/mmm (No. 123)
Asymmetric unit:
Sm1 0.000 0.000 0.000
Gd1 0.000 0.500 0.500
Ge1 0.500 0.500 0.000


Material: SmGdZnGe
Method: DFT, PBE-GGA
State: relaxed

Output
* magnetization: 28.7 μB/cell
* DFT total energy: -6.70 eV per atom

abc: 7.214 7.214 7.214
angles: 90.00 90.00 90.00
Space group F-43m (No. 216)
Asymmetric unit:
Sm1 0.000 0.000 0.000
Gd1 0.000 0.000 0.500
Zn1 0.250 0.250 0.750
Ge1 0.250 0.250 0.250


Material: GdSnGe
Method: DFT, PBE-GGA
State: relaxed

Output
* magnetization: 14.1 μB/cell
* relative energy among the computed polymorphs: 285 meV/atom

abc: 4.295 4.295 8.609
angles: 90.00 90.00 90.00
Space group I4mm (No. 107)
Asymmetric unit:
Gd1 0.000 0.000 0.000
Sn1 0.000 0.000 0.354
Ge1 0.000 0.000 0.656


Material: GdSnGe
Method: DFT, PBE-GGA
State: relaxed

Output
* magnetization: 6.9 μB/cell
* relative energy among the computed polymorphs: 226 meV/atom

abc: 4.5758 4.5758 4.2225
angles: 90.00 90.00 120.00
Space group P3m1 (No. 156)
Asymmetric unit:
Gd1 0.0000 0.0000 0.0000
Sn1 0.6667 0.3333 0.5643
Ge1 0.3333 0.6667 0.3715


Material: GdSnGe
Method: DFT, PBE-GGA
State: relaxed

Output
* magnetization: 28.2 μB/cell
* relative energy among the computed polymorphs: 0 meV/atom

abc: 4.345 16.671 4.064
angles: 90.00 90.00 90.00
Space group Cmcm (No. 63)
Asymmetric unit:
Gd1 0.000 0.094 0.250
Sn1 0.000 0.260 0.750
Ge1 0.000 0.448 0.250


Material: SrGdGe
Method: DFT, PBE-GGA
State: relaxed

Output
* magnetization: 29.1 μB/cell
* DFT total energy: -7.21 eV per atom

abc: 7.299 7.299 7.299
angles: 90.00 90.00 90.00
Space group F-43m (No. 216)
Asymmetric unit:
Sr1 0.000 0.000 0.000
Gd1 0.000 0.000 0.500
Ge1 0.250 0.250 0.250


Material: SrGdGe4
Method: DFT, PBE-GGA
State: relaxed

Output
* magnetization: 28.6 μB/cell
* DFT total energy: -6.05 eV per atom

abc: 8.155 8.155 8.155
angles: 90.00 90.00 90.00
Space group F-43m (No. 216)
Asymmetric unit:
Sr1 0.000 0.000 0.000
Gd1 0.250 0.250 0.250
Ge1 0.123 0.123 0.623


Material: SrGdZnGe
Method: DFT, PBE-GGA
State: relaxed

Output
* magnetization: 29.1 μB/cell
* DFT total energy: -5.81 eV per atom

abc: 7.435 7.435 7.435
angles: 90.00 90.00 90.00
Space group F-43m (No. 216)
Asymmetric unit:
Sr1 0.000 0.000 0.000
Gd1 0.000 0.000 0.500
Zn1 0.250 0.250 0.250
Ge1 0.250 0.250 0.750


Material: TbGdGe2
Method: DFT, PBE-GGA
State: relaxed

Output
* magnetization: 21.3 μB/cell
* relative energy among the computed polymorphs: 7 meV/atom

abc: 4.2140 4.2140 20.1532
angles: 90.00 90.00 120.00
Space group R-3m (No. 166, hexagonal axes)
Asymmetric unit:
Tb1 0.0000 0.0000 0.0000
Gd1 0.0000 0.0000 0.5000
Ge1 0.0000 0.0000 0.2511


Material: TbGdGe2
Method: DFT, PBE-GGA
State: relaxed

Output
* magnetization: 7.2 μB/cell
* relative energy among the computed polymorphs: 0 meV/atom

abc: 3.373 3.373 8.094
angles: 90.00 90.00 90.00
Space group P4/mmm (No. 123)
Asymmetric unit:
Tb1 0.000 0.000 0.000
Gd1 0.000 0.000 0.500
Ge1 0.500 0.500 0.248


Material: TbGd2Ge
Method: DFT, PBE-GGA
State: relaxed

Output
* magnetization: 15.0 μB/cell
* relative energy among the computed polymorphs: 0 meV/atom

abc: 4.684 4.684 4.740
angles: 90.00 90.00 90.00
Space group P4/mmm (No. 123)
Asymmetric unit:
Tb1 0.000 0.000 0.000
Gd1 0.000 0.500 0.500
Ge1 0.500 0.500 0.000


Material: TbGd2Ge
Method: DFT, PBE-GGA
State: relaxed

Output
* magnetization: 43.2 μB/cell
* relative energy among the computed polymorphs: 514 meV/atom

abc: 3.5011 3.5011 34.8108
angles: 90.00 90.00 120.00
Space group R-3m (No. 166, hexagonal axes)
Asymmetric unit:
Tb1 0.0000 0.0000 0.0000
Gd1 0.0000 0.0000 0.4163
Ge1 0.0000 0.0000 0.5000


Material: Tb2GdGe
Method: DFT, PBE-GGA
State: relaxed

Output
* magnetization: 24.2 μB/cell
* relative energy among the computed polymorphs: 119 meV/atom

abc: 3.7217 3.7217 29.8010
angles: 90.00 90.00 120.00
Space group R-3m (No. 166, hexagonal axes)
Asymmetric unit:
Tb1 0.0000 0.0000 0.2327
Gd1 0.0000 0.0000 0.0000
Ge1 0.0000 0.0000 0.5000


Material: Tb2GdGe
Method: DFT, PBE-GGA
State: relaxed

Output
* magnetization: 7.6 μB/cell
* relative energy among the computed polymorphs: 0 meV/atom

abc: 4.713 4.713 4.654
angles: 90.00 90.00 90.00
Space group P4/mmm (No. 123)
Asymmetric unit:
Tb1 0.000 0.500 0.000
Gd1 0.000 0.000 0.500
Ge1 0.500 0.500 0.500


Material: TbGd2Ge
Method: DFT, PBE-GGA
State: relaxed

Output
* magnetization: 14.9 μB/cell
* relative energy among the computed polymorphs: 29 meV/atom

abc: 3.932 3.932 7.020
angles: 90.00 90.00 90.00
Space group P4/mmm (No. 123)
Asymmetric unit:
Tb1 0.000 0.000 0.000
Gd1 0.500 0.500 0.292
Ge1 0.000 0.000 0.500


Material: TbGdZnGe
Method: DFT, PBE-GGA
State: relaxed

Output
* magnetization: 28.6 μB/cell
* DFT total energy: -6.68 eV per atom

abc: 7.151 7.151 7.151
angles: 90.00 90.00 90.00
Space group F-43m (No. 216)
Asymmetric unit:
Tb1 0.000 0.000 0.000
Gd1 0.000 0.000 0.500
Zn1 0.250 0.250 0.250
Ge1 0.250 0.250 0.750


Material: GdTcGe2
Method: DFT, PBE-GGA
State: relaxed

Output
* magnetization: 20.6 μB/cell
* relative energy among the computed polymorphs: 0 meV/atom

abc: 4.2535 4.2535 14.7685
angles: 90.00 90.00 120.00
Space group R-3m (No. 166, hexagonal axes)
Asymmetric unit:
Gd1 0.0000 0.0000 0.0000
Tc1 0.0000 0.0000 0.5000
Ge1 0.0000 0.0000 0.2215


Material: GdTcGe2
Method: DFT, PBE-GGA
State: relaxed

Output
* magnetization: 7.7 μB/cell
* relative energy among the computed polymorphs: 76 meV/atom

abc: 3.227 3.227 6.983
angles: 90.00 90.00 90.00
Space group P4/mmm (No. 123)
Asymmetric unit:
Gd1 0.000 0.000 0.000
Tc1 0.000 0.000 0.500
Ge1 0.500 0.500 0.301